one:
Below is crystalline FeAgW2 at its relaxed geometry, with properties calculated at the PBE level.

Cell: 2.663 4.416 5.287 Å, 90.00 98.16 90.00°
Space group Pm (No. 6)
Asymmetric unit:
1 Fe 0.000 0.000 0.000
2 Ag 0.091 0.500 0.733
3 W 0.466 0.000 0.475
4 W 0.704 0.500 0.214

The theoretical density is 14.34 Mg/m³. As for the density of states at the Fermi level: 0.816 states/eV/atom. Its total magnetization is 0.526 μB/atom. As for the crystal system: monoclinic.

***

two:
Below is crystalline FeAgW2 at its relaxed geometry, with properties calculated at the PBE level.

Cell: 3.170 4.290 9.046 Å, 90.00 90.00 90.00°
Space group Cmmm (No. 65)
Asymmetric unit:
1 Fe 0.000 0.000 0.000
2 Ag 0.000 0.000 0.500
3 W 0.000 0.500 0.229

The theoretical density is 14.35 Mg/m³. As for the density of states at the Fermi level: 0.797 states/eV/atom. Its total magnetization is 0.507 μB/atom. As for the crystal system: orthorhombic.

***

three:
Below is crystalline FeAgW2 at its relaxed geometry, with properties calculated at the PBE level.

Cell: 3.832 3.832 8.256 Å, 90.00 90.00 90.00°
Space group I4/mmm (No. 139)
Asymmetric unit:
1 Fe 0.000 0.000 0.000
2 Ag 0.000 0.000 0.500
3 W 0.000 0.500 0.250

The theoretical density is 14.56 Mg/m³. As for the density of states at the Fermi level: 1.159 states/eV/atom. Its total magnetization is 0.409 μB/atom. As for the crystal system: tetragonal.

***

Name the most stable of them. two.

***

one:
Below is crystalline Fe3AgW at its relaxed geometry, with properties calculated at the PBE level.

Cell: 4.573 4.573 4.573 Å, 90.00 90.00 90.00°
Space group Pm-3m (No. 221)
Asymmetric unit:
1 Fe 0.000 0.000 0.500
2 Ag 0.000 0.000 0.000
3 W 0.500 0.500 0.500

The theoretical density is 7.97 Mg/m³. As for the density of states at the Fermi level: 1.436 states/eV/atom. Its total magnetization is 1.404 μB/atom. As for the crystal system: cubic.

***

two:
Below is crystalline Fe3AgW at its relaxed geometry, with properties calculated at the PBE level.

Cell: 4.491 4.491 4.491 Å, 90.00 90.00 90.00°
Space group Pm-3m (No. 221)
Asymmetric unit:
1 Fe 0.000 0.000 0.500
2 Ag 0.500 0.500 0.500
3 W 0.000 0.000 0.000

The theoretical density is 8.42 Mg/m³. As for the density of states at the Fermi level: 0.937 states/eV/atom. Its total magnetization is 0.916 μB/atom. As for the crystal system: cubic.

***

Name the most stable of them. two.

***

one:
Below is crystalline Zn2FeAg at its relaxed geometry, with properties calculated at the PBE level.

Cell: 8.683 2.723 5.060 Å, 90.00 98.80 90.00°
Space group C2/m (No. 12)
Asymmetric unit:
1 Zn 0.245 0.000 0.230
2 Fe 0.000 0.500 0.000
3 Ag 0.000 0.000 0.500

The theoretical density is 8.27 Mg/m³. As for the density of states at the Fermi level: 0.677 states/eV/atom. Its total magnetization is 0.614 μB/atom. As for the crystal system: monoclinic.

***

two:
Below is crystalline Zn2FeAg at its relaxed geometry, with properties calculated at the PBE level.

Cell: 3.831 3.839 7.829 Å, 90.00 90.00 90.00°
Space group Cmmm (No. 65)
Asymmetric unit:
1 Zn 0.000 0.000 0.227
2 Fe 0.000 0.500 0.000
3 Ag 0.000 0.500 0.500

The theoretical density is 8.49 Mg/m³. As for the density of states at the Fermi level: 0.515 states/eV/atom. Its total magnetization is 0.520 μB/atom. As for the crystal system: orthorhombic.

***

Name the most stable of them. two.

***

one:
Below is crystalline Zn2FeAg at its relaxed geometry, with properties calculated at the PBE level.

Cell: 2.849 4.671 8.919 Å, 90.00 90.00 90.00°
Space group Immm (No. 71)
Asymmetric unit:
1 Zn 0.000 0.000 0.239
2 Fe 0.000 0.500 0.500
3 Ag 0.000 0.500 0.000

The theoretical density is 8.24 Mg/m³. As for the density of states at the Fermi level: 0.551 states/eV/atom. Its total magnetization is 0.630 μB/atom. As for the crystal system: orthorhombic.

***

two:
Below is crystalline Zn2FeAg at its relaxed geometry, with properties calculated at the PBE level.

Cell: 2.747 3.525 5.984 Å, 90.00 90.35 90.00°
Space group P2/m (No. 10)
Asymmetric unit:
1 Zn 0.000 0.000 0.223
2 Fe 0.500 0.500 0.000
3 Ag 0.500 0.500 0.500

The theoretical density is 8.44 Mg/m³. As for the density of states at the Fermi level: 0.577 states/eV/atom. Its total magnetization is 0.547 μB/atom. As for the crystal system: monoclinic.

***

three:
Below is crystalline Zn2FeAg at its relaxed geometry, with properties calculated at the PBE level.

Cell: 3.809 3.809 8.125 Å, 90.00 90.00 90.00°
Space group I-4m2 (No. 119)
Asymmetric unit:
1 Zn 0.000 0.000 0.000
2 Zn 0.000 0.500 0.250
3 Fe 0.000 0.000 0.500
4 Ag 0.000 0.500 0.750

The theoretical density is 8.30 Mg/m³. As for the density of states at the Fermi level: 0.850 states/eV/atom. Its total magnetization is 0.668 μB/atom. As for the crystal system: tetragonal.

***

Name the most stable of them. two.

***

one:
Below is crystalline Zn2FeAg at its relaxed geometry, with properties calculated at the PBE level.

Cell: 2.7454 2.7454 9.2807 Å, 90.00 90.00 120.00°
Space group P3m1 (No. 156)
Asymmetric unit:
1 Zn 0.0000 0.0000 0.0000
2 Zn 0.3333 0.6667 0.5106
3 Fe 0.3333 0.6667 0.7763
4 Ag 0.6667 0.3333 0.2550

The theoretical density is 8.07 Mg/m³. As for the density of states at the Fermi level: 0.649 states/eV/atom. Its total magnetization is 0.601 μB/atom. As for the crystal system: trigonal.

***

two:
Below is crystalline Zn2FeAg at its relaxed geometry, with properties calculated at the PBE level.

Cell: 3.772 3.772 18.380 Å, 90.00 90.00 90.00°
Space group I-42d (No. 122)
Asymmetric unit:
1 Zn 0.238 0.250 0.125
2 Fe 0.000 0.000 0.000
3 Ag 0.000 0.000 0.500

The theoretical density is 7.48 Mg/m³. As for the density of states at the Fermi level: 0.712 states/eV/atom. Its total magnetization is 0.637 μB/atom. As for the crystal system: tetragonal.

***

Name the most stable of them. one.

***

one:
Below is crystalline Zn2FeAg at its relaxed geometry, with properties calculated at the PBE level.

Cell: 4.690 2.735 4.930 Å, 90.00 111.65 90.00°
Space group P2/m (No. 10)
Asymmetric unit:
1 Zn 0.000 0.000 0.000
2 Zn 0.000 0.500 0.500
3 Fe 0.500 0.000 0.500
4 Ag 0.500 0.500 0.000

The theoretical density is 8.32 Mg/m³. As for the density of states at the Fermi level: 0.725 states/eV/atom. Its total magnetization is 0.564 μB/atom. As for the crystal system: monoclinic.

***

two:
Below is crystalline Zn2FeAg at its relaxed geometry, with properties calculated at the PBE level.

Cell: 2.749 2.749 7.802 Å, 90.00 90.00 90.00°
Space group P4mm (No. 99)
Asymmetric unit:
1 Zn 0.000 0.000 0.000
2 Zn 0.500 0.500 0.252
3 Fe 0.500 0.500 0.777
4 Ag 0.000 0.000 0.517

The theoretical density is 8.29 Mg/m³. As for the density of states at the Fermi level: 0.524 states/eV/atom. Its total magnetization is 0.658 μB/atom. As for the crystal system: tetragonal.

***

Name the most stable of them. two.

***

one:
Below is crystalline Zn2FeAg at its relaxed geometry, with properties calculated at the PBE level.

Cell: 5.715 7.428 2.732 Å, 90.00 90.27 90.00°
Space group C2/m (No. 12)
Asymmetric unit:
1 Zn 0.250 0.250 0.000
2 Fe 0.000 0.000 0.500
3 Ag 0.000 0.500 0.500

The theoretical density is 8.44 Mg/m³. As for the density of states at the Fermi level: 0.565 states/eV/atom. Its total magnetization is 0.511 μB/atom. As for the crystal system: monoclinic.

***

two:
Below is crystalline Zn2FeAg at its relaxed geometry, with properties calculated at the PBE level.

Cell: 10.005 2.705 4.705 Å, 90.00 113.87 90.00°
Space group Cm (No. 8)
Asymmetric unit:
1 Zn 0.000 0.000 0.000
2 Zn 0.250 0.000 0.592
3 Fe 0.240 0.500 0.079
4 Ag 0.495 0.000 0.491

The theoretical density is 8.40 Mg/m³. As for the density of states at the Fermi level: 0.784 states/eV/atom. Its total magnetization is 0.529 μB/atom. As for the crystal system: monoclinic.

***

three:
Below is crystalline Zn2FeAg at its relaxed geometry, with properties calculated at the PBE level.

Cell: 2.757 3.887 5.495 Å, 90.00 90.00 90.00°
Space group Pmm2 (No. 25)
Asymmetric unit:
1 Zn 0.000 0.000 0.000
2 Zn 0.500 0.500 0.260
3 Fe 0.500 0.500 0.783
4 Ag 0.000 0.000 0.513

The theoretical density is 8.31 Mg/m³. As for the density of states at the Fermi level: 0.771 states/eV/atom. Its total magnetization is 0.650 μB/atom. As for the crystal system: orthorhombic.

***

four:
Below is crystalline Zn2FeAg at its relaxed geometry, with properties calculated at the PBE level.

Cell: 3.615 3.980 4.040 Å, 90.00 90.00 90.00°
Space group Pmmm (No. 47)
Asymmetric unit:
1 Zn 0.000 0.000 0.000
2 Zn 0.000 0.500 0.500
3 Fe 0.500 0.000 0.500
4 Ag 0.500 0.500 0.000

The theoretical density is 8.42 Mg/m³. As for the density of states at the Fermi level: 0.829 states/eV/atom. Its total magnetization is 0.549 μB/atom. As for the crystal system: orthorhombic.

***

Name the most stable of them. one.

***

one:
Below is crystalline Zn2FeAg at its relaxed geometry, with properties calculated at the PBE level.

Cell: 2.7667 2.7667 26.4815 Å, 90.00 90.00 120.00°
Space group R3m (No. 160, hexagonal axes)
Asymmetric unit:
1 Zn 0.0000 0.0000 0.0000
2 Zn 0.0000 0.0000 0.1785
3 Fe 0.0000 0.0000 0.5893
4 Ag 0.0000 0.0000 0.7559

The theoretical density is 8.36 Mg/m³. As for the density of states at the Fermi level: 0.482 states/eV/atom. Its total magnetization is 0.564 μB/atom. As for the crystal system: trigonal.

***

two:
Below is crystalline Zn2FeAg at its relaxed geometry, with properties calculated at the PBE level.

Cell: 2.7622 2.7622 26.6128 Å, 90.00 90.00 120.00°
Space group R-3m (No. 166, hexagonal axes)
Asymmetric unit:
1 Zn 0.0000 0.0000 0.2442
2 Fe 0.0000 0.0000 0.5000
3 Ag 0.0000 0.0000 0.0000

The theoretical density is 8.34 Mg/m³. As for the density of states at the Fermi level: 0.448 states/eV/atom. Its total magnetization is 0.579 μB/atom. As for the crystal system: trigonal.

***

Name the most stable of them. two.

***

one:
Below is crystalline Zn2FeAg at its relaxed geometry, with properties calculated at the PBE level.

Cell: 2.749 4.188 5.278 Å, 90.00 104.43 90.00°
Space group Pm (No. 6)
Asymmetric unit:
1 Zn 0.000 0.000 0.000
2 Zn 0.121 0.500 0.283
3 Fe 0.399 0.500 0.809
4 Ag 0.729 0.000 0.497

The theoretical density is 8.31 Mg/m³. As for the density of states at the Fermi level: 0.667 states/eV/atom. Its total magnetization is 0.652 μB/atom. As for the crystal system: monoclinic.

***

two:
Below is crystalline Zn2FeAg at its relaxed geometry, with properties calculated at the PBE level.

Cell: 6.182 6.182 6.182 Å, 90.00 90.00 90.00°
Space group F-43m (No. 216)
Asymmetric unit:
1 Zn 0.000 0.000 0.000
2 Zn 0.250 0.250 0.250
3 Fe 0.250 0.250 0.750
4 Ag 0.000 0.000 0.500

The theoretical density is 8.28 Mg/m³. As for the density of states at the Fermi level: 1.033 states/eV/atom. Its total magnetization is 0.675 μB/atom. As for the crystal system: cubic.

***

three:
Below is crystalline Zn2FeAg at its relaxed geometry, with properties calculated at the PBE level.

Cell: 6.153 6.153 6.153 Å, 90.00 90.00 90.00°
Space group Fm-3m (No. 225)
Asymmetric unit:
1 Zn 0.250 0.250 0.250
2 Fe 0.000 0.000 0.000
3 Ag 0.000 0.000 0.500

The theoretical density is 8.40 Mg/m³. As for the density of states at the Fermi level: 1.206 states/eV/atom. Its total magnetization is 0.613 μB/atom. As for the crystal system: cubic.

***

Name the most stable of them. one.

***

one:
Below is crystalline Zn4FeAg at its relaxed geometry, with properties calculated at the PBE level.

Cell: 7.075 7.075 7.075 Å, 90.00 90.00 90.00°
Space group F-43m (No. 216)
Asymmetric unit:
1 Zn 0.124 0.124 0.124
2 Fe 0.250 0.250 0.750
3 Ag 0.000 0.000 0.500

The theoretical density is 7.98 Mg/m³. As for the density of states at the Fermi level: 0.766 states/eV/atom. Its total magnetization is 0.440 μB/atom. As for the crystal system: cubic.

***

two:
Below is crystalline Zn4FeAg at its relaxed geometry, with properties calculated at the PBE level.

Cell: 2.720 2.720 11.829 Å, 90.00 90.00 90.00°
Space group P4/mmm (No. 123)
Asymmetric unit:
1 Zn 0.000 0.000 0.152
2 Zn 0.500 0.500 0.320
3 Fe 0.500 0.500 0.000
4 Ag 0.000 0.000 0.500

The theoretical density is 8.07 Mg/m³. As for the density of states at the Fermi level: 0.345 states/eV/atom. Its total magnetization is 0.390 μB/atom. As for the crystal system: tetragonal.

***

Name the most stable of them. two.

***

one:
Below is crystalline Zn6FeAg at its relaxed geometry, with properties calculated at the PBE level.

Cell: 2.708 7.425 12.933 Å, 90.00 90.00 90.00°
Space group Amm2 (No. 38)
Asymmetric unit:
1 Zn 0.000 0.000 0.000
2 Zn 0.000 0.000 0.472
3 Zn 0.000 0.183 0.297
4 Zn 0.500 0.180 0.619
5 Fe 0.500 0.000 0.163
6 Ag 0.500 0.000 0.819

The theoretical density is 7.10 Mg/m³. As for the density of states at the Fermi level: 0.454 states/eV/atom. Its total magnetization is 0.219 μB/atom. As for the crystal system: orthorhombic.

***

two:
Below is crystalline Zn6FeAg at its relaxed geometry, with properties calculated at the PBE level.

Cell: 3.804 3.804 7.979 Å, 90.00 90.00 90.00°
Space group P4/mmm (No. 123)
Asymmetric unit:
1 Zn 0.000 0.000 0.000
2 Zn 0.000 0.000 0.500
3 Zn 0.000 0.500 0.234
4 Fe 0.500 0.500 0.000
5 Ag 0.500 0.500 0.500

The theoretical density is 8.00 Mg/m³. As for the density of states at the Fermi level: 0.480 states/eV/atom. Its total magnetization is 0.203 μB/atom. As for the crystal system: tetragonal.

***

Name the most stable of them. two.

***

one:
Below is crystalline ZnFe3Ag at its relaxed geometry, with properties calculated at the PBE level.

Cell: 4.708 4.708 4.708 Å, 90.00 90.00 90.00°
Space group Pm-3m (No. 221)
Asymmetric unit:
1 Zn 0.000 0.000 0.000
2 Fe 0.000 0.500 0.500
3 Ag 0.500 0.500 0.500

The theoretical density is 5.42 Mg/m³. As for the density of states at the Fermi level: 1.518 states/eV/atom. Its total magnetization is 1.864 μB/atom. As for the crystal system: cubic.

***

two:
Below is crystalline ZnFe3Ag at its relaxed geometry, with properties calculated at the PBE level.

Cell: 4.429 4.429 4.429 Å, 90.00 90.00 90.00°
Space group Pm-3m (No. 221)
Asymmetric unit:
1 Zn 0.000 0.000 0.000
2 Fe 0.000 0.000 0.500
3 Ag 0.500 0.500 0.500

The theoretical density is 6.51 Mg/m³. As for the density of states at the Fermi level: 1.529 states/eV/atom. Its total magnetization is 1.632 μB/atom. As for the crystal system: cubic.

***

Name the most stable of them. two.